Record 1
# KPOs, optimized geometry, DFT PBE
data_KPOs
_chemical_formula_sum 'K1 P1 Os1'
_symmetry_space_group_name_H-M 'P -6 m 2'
_symmetry_Int_Tables_number 187
_symmetry_space_group_name_Hall 'P -6 2'
_cell_length_a 4.9060
_cell_length_b 4.9060
_cell_length_c 2.6340
_cell_angle_alpha 90.00
_cell_angle_beta 90.00
_cell_angle_gamma 120.00
loop_
_atom_site_label
_atom_site_fract_x
_atom_site_fract_y
_atom_site_fract_z
_atom_site_occupancy
K1 0.0000 0.0000 0.0000 1
P1 0.3333 0.6667 0.5000 1
Os1 0.6667 0.3333 0.5000 1
# E_form, meV per atom: 1055

Record 2
# KPOs2, optimized geometry, DFT PBE
data_KPOs2
_chemical_formula_sum 'K2 P2 Os4'
_symmetry_space_group_name_H-M 'C 1 2/m 1'
_symmetry_Int_Tables_number 12
_symmetry_space_group_name_Hall '-C 2y'
_cell_length_a 5.603
_cell_length_b 10.705
_cell_length_c 2.593
_cell_angle_alpha 90.00
_cell_angle_beta 116.85
_cell_angle_gamma 90.00
loop_
_atom_site_label
_atom_site_fract_x
_atom_site_fract_y
_atom_site_fract_z
_atom_site_occupancy
K1 0.000 0.000 0.000 1
P1 0.000 0.500 0.000 1
Os1 0.250 0.250 0.000 1
# E_form, meV per atom: 1233
# Excess energy over the best structure of this formula in the dataset, eV per atom: 0.842

Record 3
# K2POs, optimized geometry, DFT PBE
data_K2POs
_chemical_formula_sum 'K2 P1 Os1'
_symmetry_space_group_name_H-M 'P m m m'
_symmetry_Int_Tables_number 47
_symmetry_space_group_name_Hall '-P 2 2'
_cell_length_a 3.519
_cell_length_b 4.173
_cell_length_c 5.393
_cell_angle_alpha 90.00
_cell_angle_beta 90.00
_cell_angle_gamma 90.00
loop_
_atom_site_label
_atom_site_fract_x
_atom_site_fract_y
_atom_site_fract_z
_atom_site_occupancy
K1 0.000 0.000 0.000 1
K2 0.500 0.500 0.000 1
P1 0.000 0.500 0.500 1
Os1 0.500 0.000 0.500 1
# E_form, meV per atom: 1000
# Excess energy over the best structure of this formula in the dataset, eV per atom: 0.978

Record 4
# KPOs3, optimized geometry, DFT PBE
data_KPOs3
_chemical_formula_sum 'K1 P1 Os3'
_symmetry_space_group_name_H-M 'P m -3 m'
_symmetry_Int_Tables_number 221
_symmetry_space_group_name_Hall '-P 4 2 3'
_cell_length_a 4.588
_cell_length_b 4.588
_cell_length_c 4.588
_cell_angle_alpha 90.00
_cell_angle_beta 90.00
_cell_angle_gamma 90.00
loop_
_atom_site_label
_atom_site_fract_x
_atom_site_fract_y
_atom_site_fract_z
_atom_site_occupancy
K1 0.000 0.000 0.000 1
P1 0.500 0.500 0.500 1
Os1 0.000 0.000 0.500 1
# E_form, meV per atom: 4100
# Excess energy over the best structure of this formula in the dataset, eV per atom: 2.887

Record 5
# KPOs2, optimized geometry, DFT PBE
data_KPOs2
_chemical_formula_sum 'K1 P1 Os2'
_symmetry_space_group_name_H-M 'P m m 2'
_symmetry_Int_Tables_number 25
_symmetry_space_group_name_Hall 'P 2 -2'
_cell_length_a 2.808
_cell_length_b 3.862
_cell_length_c 7.332
_cell_angle_alpha 90.00
_cell_angle_beta 90.00
_cell_angle_gamma 90.00
loop_
_atom_site_label
_atom_site_fract_x
_atom_site_fract_y
_atom_site_fract_z
_atom_site_occupancy
K1 0.000 0.000 0.000 1
P1 0.500 0.500 0.685 1
Os1 0.000 0.000 0.511 1
Os2 0.500 0.500 0.371 1
# E_form, meV per atom: 475
# Excess energy over the best structure of this formula in the dataset, eV per atom: 0.084

Record 6
# K2POs, optimized geometry, DFT PBE
data_K2POs
_chemical_formula_sum 'K4 P2 Os2'
_symmetry_space_group_name_H-M 'I m m 2'
_symmetry_Int_Tables_number 44
_symmetry_space_group_name_Hall 'I 2 -2'
_cell_length_a 3.772
_cell_length_b 5.690
_cell_length_c 10.720
_cell_angle_alpha 90.00
_cell_angle_beta 90.00
_cell_angle_gamma 90.00
loop_
_atom_site_label
_atom_site_fract_x
_atom_site_fract_y
_atom_site_fract_z
_atom_site_occupancy
K1 0.000 0.000 0.000 1
K2 0.000 0.500 0.190 1
P1 0.000 0.000 0.413 1
Os1 0.000 0.500 0.809 1
# E_form, meV per atom: 190
# Excess energy over the best structure of this formula in the dataset, eV per atom: 0.168